# 1
KZnSbAu | the Alexandria database | GGA-PBE | optimized geometry; total energy = -2.669 eV/atom; D(E_F) = 3.5 states/eV per cell; space-group type = P4/nmm; V = 224 Å³ per cell; ΔE_f (raw) = -227 meV/atom
1.0
4.068 0.000 0.000
0.000 4.068 0.000
0.000 0.000 13.544
K Zn Sb Au
2 2 2 2
Cartesian
1.017 1.017 2.779
3.051 3.051 10.766
1.017 3.051 6.772
3.051 1.017 6.772
1.017 1.017 8.583
3.051 3.051 4.961
1.017 3.051 0.000
3.051 1.017 0.000

# 2
CaIrPb | the Alexandria database | GGA-PBE | optimized geometry; total energy = -5.009 eV/atom; formation energy = -0.15 eV/atom; D(E_F) = 2.1 states/eV per cell; space-group type = P-6m2; V = 68 Å³ per cell
1.0
4.800 0.000 0.000
-2.400 4.157 0.000
0.000 0.000 3.426
Ca Ir Pb
1 1 1
Cartesian
0.000 0.000 0.000
2.400 1.386 1.713
0.000 2.771 1.713

# 3
LiTb3Os | the Alexandria database | GGA-PBE | optimized geometry; total energy = -5.371 eV/atom; formation energy = 0.04 eV/atom; D(E_F) = 3.7 states/eV per cell; space-group type = Pm-3m; V = 162 Å³ per cell
1.0
5.448 0.000 0.000
0.000 5.448 0.000
0.000 0.000 5.448
Li Tb Os
1 3 1
Cartesian
0.000 0.000 0.000
0.000 2.724 2.724
2.724 0.000 2.724
2.724 2.724 0.000
2.724 2.724 2.724

# 4
NpGePtAu | the Alexandria database | GGA-PBE | optimized geometry; total energy = -6.922 eV/atom; formation energy = -0.20 eV/atom; D(E_F) = 7.5 states/eV per cell; space-group type = F-43m; V = 78 Å³ per cell
1.0
0.000 3.388 3.388
3.388 0.000 3.388
3.388 3.388 0.000
Np Ge Pt Au
1 1 1 1
Cartesian
0.000 0.000 0.000
5.082 5.082 5.082
1.694 1.694 1.694
3.388 3.388 3.388